Record 1
# TlMoSe2

An optimized crystal structure of TlMoSe2 (PBE, Alexandria).

Values from the calculation:
As for the formation energy from raw total energies: -0.25 eV per atom.

Unit cell a=3.1409 b=3.1409 c=9.0000 alpha=90.00 beta=90.00 gamma=90.00
Last column: nearest neighbours and their distance in Å.
Space group P4/mmm (No. 123)
Inequivalent atoms, fractional coordinates:
Tl (0.0000, 0.0000, 0.0000) x1  4 Tl 3.14
Mo (0.0000, 0.0000, 0.5000) x1  8 Se 2.70
Se (0.5000, 0.5000, 0.3301) x2  4 Mo 2.70

Record 2
# Ti4SnS8

An optimized crystal structure of Ti4SnS8 (PBE, Alexandria).

Values from the calculation:
As for the formation energy from raw total energies: -1.21 eV per atom.

Unit cell a=6.8434 b=6.8434 c=20.6865 alpha=90.00 beta=90.00 gamma=120.00
Last column: nearest neighbours and their distance in Å.
Space group R-3m (No. 166, hexagonal axes)
Inequivalent atoms, fractional coordinates:
Ti (0.0000, 0.0000, 0.0000) x3  6 S 2.45
Ti (0.0000, 0.5000, 0.0000) x9  6 S 2.43-2.46
Sn (0.0000, 0.0000, 0.5000) x3  6 S 2.81
S (0.0000, 0.0000, 0.2649) x6  3 Ti 2.43
S (0.0011, 0.5006, 0.7373) x18  3 Ti 2.45-2.46

Record 3
# YMgB

An optimized crystal structure of YMgB (PBE, Alexandria).

Values from the calculation:
Its formation energy is 0.07 eV/atom.

Unit cell a=4.5566 b=4.5566 c=5.7911 alpha=90.00 beta=90.00 gamma=120.00
Last column: nearest neighbours and their distance in Å.
Space group P6_3/mmc (No. 194)
Inequivalent atoms, fractional coordinates:
Y (0.3333, 0.6667, 0.2500) x2  5 B 2.63-2.90
Mg (0.0000, 0.0000, 0.0000) x2  2 Mg 2.90, 6 Y 3.00, 6 B 3.00
B (0.3333, 0.6667, 0.7500) x2  5 Y 2.63-2.90

Record 4
# CaNb3Cl

An optimized crystal structure of CaNb3Cl (PBE, Alexandria).

Values from the calculation:
As for the formation energy from raw total energies: 2.44 eV per atom.

Unit cell a=4.9385 b=4.9385 c=4.9385 alpha=90.00 beta=90.00 gamma=90.00
Last column: nearest neighbours and their distance in Å.
Space group Pm-3m (No. 221)
Inequivalent atoms, fractional coordinates:
Ca (0.0000, 0.0000, 0.0000) x1  6 Nb 2.47
Nb (0.0000, 0.0000, 0.5000) x3  2 Ca 2.47
Cl (0.5000, 0.5000, 0.5000) x1  12 Nb 3.49